# 1
First-principles (PBE) data for an optimized crystal structure of Pr2ErZn, as listed in the Alexandria database.

- ρ: 7.0 Mg/m³
- Polymorph energy (0 for the lowest one): 228 meV per atom
- DFT formation energy: 75 meV/atom
- Total energy: -3.77 eV per atom

Lattice parameters (Å, degrees): 6.2456 6.2456 6.2456 47.80 47.80 47.80
Sites, in units of the cell vectors:
Pr 0.0000 0.0000 0.0000
Pr 0.2133 0.2133 0.2133
Er 0.4436 0.4436 0.4436
Zn 0.7801 0.7801 0.7801

=====

# 2
First-principles (PBE) data for an optimized crystal structure of PmPuCl6, as listed in the Alexandria database.

- ρ: 3.6 Mg/m³
- Polymorph energy (0 for the lowest one): 0 meV per atom
- Formation energy without anion corrections: -2.056 eV per atom
- Total energy: -5.83 eV per atom

Lattice parameters (Å, degrees): 7.0434 7.0434 6.8171 97.42 97.42 121.32
Sites, in units of the cell vectors:
Pm 0.0000 0.0000 0.0000
Pu 0.5000 0.5000 0.5000
Cl 0.1040 0.3938 0.2522
Cl 0.2495 0.2495 0.7496
Cl 0.3938 0.1040 0.2522
Cl 0.6062 0.8960 0.7478
Cl 0.7505 0.7505 0.2504
Cl 0.8960 0.6062 0.7478

=====

Number 2 is which compound? PmPuCl6